1.
TaAl2AgF: PBEsol geometry, meta-GGA SCAN.

Output
raw total energy	-22.56	eV/atom
total moment	0.51	μB per atom
DOS(E_F)	0.45	states/eV/atom
raw formation energy	0.839	eV/atom

Geometry as POSCAR:
```
TaAl2AgF
1.0
4.618 0.000 0.000
0.000 4.618 0.000
0.000 0.000 5.120
Ta Al Ag F
1 2 1 1
Cartesian
0.000 0.000 0.000
0.000 2.309 2.560
2.309 0.000 2.560
0.000 0.000 2.560
2.309 2.309 0.000
```



2.
Rb: PBEsol geometry, meta-GGA SCAN.

Output
raw total energy	-20.71	eV/atom
total moment	0.00	μB per atom
distance to the lowest polymorph of the same formula	30.8	meV per atom
energy of formation from the pure elements	0.03	eV per formula unit
DOS(E_F)	0.82	states/eV/atom

Geometry as POSCAR:
```
Rb
1.0
0.000 4.058 8.575
2.485 0.000 8.575
2.485 4.058 0.000
Rb
2
Cartesian
2.485 4.058 2.252
2.485 4.058 14.898
```



3.
Tl2AgRu: PBEsol geometry, meta-GGA SCAN.

Output
raw total energy	-52.22	eV/atom
total moment	0.00	μB per atom
distance to the lowest polymorph of the same formula	104.5	meV per atom
energy of formation from the pure elements	2.04	eV per formula unit
DOS(E_F)	0.58	states/eV/atom

Geometry as POSCAR:
```
Tl2AgRu
1.0
1.571 0.907 9.009
-1.571 0.907 9.009
0.000 -1.814 9.009
Tl Ag Ru
2 1 1
Cartesian
0.000 0.000 6.626
0.000 0.000 20.402
0.000 0.000 0.000
0.000 0.000 13.514
```



4.
Ce3AlFeS7: PBEsol geometry, meta-GGA SCAN.

Output
raw total energy	-20.72	eV/atom
total moment	0.08	μB per atom
DOS(E_F)	0.58	states/eV/atom
raw formation energy	-1.809	eV/atom

Geometry as POSCAR:
```
Ce3AlFeS7
1.0
9.573 0.000 0.000
-4.787 8.291 0.000
0.000 0.000 6.017
Ce Al Fe S
6 2 2 14
Cartesian
-2.255 6.571 0.000
0.224 3.053 0.000
2.755 1.332 3.008
2.031 6.958 0.000
4.563 5.238 3.008
7.042 1.720 3.008
0.000 5.527 3.466
4.787 2.764 0.458
0.000 0.000 1.059
0.000 0.000 4.068
-1.716 4.362 4.330
-3.197 7.228 2.549
0.125 1.908 2.549
1.715 0.845 5.557
0.000 5.527 1.254
-0.151 7.596 4.330
1.867 4.623 4.330
2.920 3.667 1.321
4.937 0.695 1.321
4.787 2.764 4.262
3.071 7.445 2.549
4.661 6.383 5.557
7.984 1.063 5.557
6.503 3.929 1.321
```



5.
LiNb2C: PBEsol geometry, meta-GGA SCAN.

Output
raw total energy	-19.32	eV/atom
total moment	0.00	μB per atom
energy of formation from the pure elements	1.45	eV per formula unit
DOS(E_F)	0.65	states/eV/atom

Geometry as POSCAR:
```
LiNb2C
1.0
-3.261 3.261 2.582
3.261 -3.261 2.582
3.261 3.261 -2.582
Li Nb C
2 4 2
Cartesian
0.000 0.000 0.000
0.000 3.261 1.291
1.631 2.013 -0.646
4.510 1.631 0.646
1.631 1.248 1.937
-1.248 1.631 3.228
3.261 0.000 1.291
0.000 0.000 2.582
```



6.
LiZnBiPt2: PBEsol geometry, meta-GGA SCAN.

Output
raw total energy	-46.72	eV/atom
total moment	0.00	μB per atom
energy of formation from the pure elements	1.26	eV per formula unit
DOS(E_F)	0.41	states/eV/atom

Geometry as POSCAR:
```
LiZnBiPt2
1.0
4.452 0.000 0.000
0.000 4.452 0.000
0.000 0.000 4.244
Li Zn Bi Pt
1 1 1 2
Cartesian
0.000 0.000 0.000
0.000 0.000 2.122
2.226 2.226 2.122
0.000 2.226 0.000
2.226 0.000 0.000
```



7.
ScZn3Co: PBEsol geometry, meta-GGA SCAN.

Output
raw total energy	-13.07	eV/atom
total moment	0.33	μB per atom
energy of formation from the pure elements	6.72	eV per formula unit
DOS(E_F)	0.82	states/eV/atom

Geometry as POSCAR:
```
ScZn3Co
1.0
4.966 0.000 0.000
0.000 4.966 0.000
0.000 0.000 4.966
Sc Zn Co
1 3 1
Cartesian
0.000 0.000 0.000
0.000 0.000 2.483
0.000 2.483 0.000
2.483 0.000 0.000
2.483 2.483 2.483
```



8.
CaAl2Cl8: PBEsol geometry, meta-GGA SCAN.

Output
raw total energy	-10.07	eV/atom
total moment	0.00	μB per atom
DOS(E_F)	0.00	states/eV/atom
raw formation energy	-1.978	eV/atom

Geometry as POSCAR:
```
CaAl2Cl8
1.0
-5.687 5.687 9.773
5.687 -5.687 9.773
5.687 5.687 -9.773
Ca Al Cl
4 8 32
Cartesian
5.687 -2.844 7.330
5.687 2.844 2.443
0.000 2.844 7.330
0.000 8.531 2.443
2.844 2.597 0.000
0.247 0.000 4.886
5.934 0.000 4.886
2.844 -2.597 9.773
2.844 8.284 0.000
-0.247 5.687 4.886
5.440 5.687 4.886
2.844 3.091 9.773
8.870 1.857 -1.739
7.094 -1.798 4.798
7.094 3.889 -4.798
4.642 1.437 -0.088
4.701 5.349 -6.625
1.045 1.437 0.088
4.701 0.339 3.148
2.505 3.830 -1.739
8.192 1.857 1.739
4.701 -0.339 6.625
4.701 6.026 -3.148
6.732 4.250 -0.088
4.642 -1.437 9.861
1.406 1.798 4.798
7.094 1.798 4.974
3.182 3.830 1.739
2.505 1.857 8.034
-1.406 3.889 4.798
4.281 3.889 4.974
1.045 7.124 -0.088
-1.045 1.437 9.861
0.987 -0.339 12.920
0.987 6.026 3.148
-2.505 3.830 8.034
3.182 1.857 11.511
0.987 5.349 6.625
4.642 4.250 9.685
0.987 0.339 16.398
1.045 4.250 9.861
-1.406 1.798 14.571
-1.406 7.486 4.974
-3.182 3.830 11.511
```



9.
CoSe2Br: PBEsol geometry, meta-GGA SCAN.

Output
raw total energy	-19.48	eV/atom
total moment	0.01	μB per atom
distance to the lowest polymorph of the same formula	0.0	meV per atom
DOS(E_F)	0.22	states/eV/atom
raw formation energy	-0.247	eV/atom

Geometry as POSCAR:
```
CoSe2Br
1.0
3.124 -1.807 0.000
3.124 1.807 0.000
-2.144 0.000 7.394
Co Se Br
1 2 1
Cartesian
0.000 0.000 0.000
2.085 0.000 1.111
2.019 0.000 6.283
2.052 0.000 3.697
```



10.
CuAsI3: PBEsol geometry, meta-GGA SCAN.

Output
raw total energy	-28.57	eV/atom
total moment	0.00	μB per atom
DOS(E_F)	0.54	states/eV/atom
raw formation energy	0.550	eV/atom

Geometry as POSCAR:
```
CuAsI3
1.0
5.569 0.000 0.000
0.000 5.569 0.000
0.000 0.000 5.569
Cu As I
1 1 3
Cartesian
0.000 0.000 0.000
2.785 2.785 2.785
0.000 2.785 2.785
2.785 0.000 2.785
2.785 2.785 0.000
```



11.
MnTlSi2: PBEsol geometry, meta-GGA SCAN.

Output
raw total energy	-27.40	eV/atom
total moment	0.48	μB per atom
distance to the lowest polymorph of the same formula	0.0	meV per atom
DOS(E_F)	0.52	states/eV/atom
raw formation energy	0.262	eV/atom

Geometry as POSCAR:
```
MnTlSi2
1.0
3.786 -1.490 0.000
3.786 1.490 0.000
-1.284 0.000 6.454
Mn Tl Si
1 1 2
Cartesian
0.000 0.000 0.000
3.144 0.000 3.227
0.945 0.000 5.543
5.343 0.000 0.911
```



12.
POs2Pt: PBEsol geometry, meta-GGA SCAN.

Output
raw total energy	-55.52	eV/atom
total moment	0.27	μB per atom
energy of formation from the pure elements	2.26	eV per formula unit
DOS(E_F)	0.82	states/eV/atom

Geometry as POSCAR:
```
POs2Pt
1.0
1.364 -2.380 0.000
1.364 2.380 0.000
0.000 0.000 8.842
P Os Pt
1 2 1
Cartesian
0.000 0.000 0.000
0.000 0.000 4.598
1.364 0.000 6.849
1.364 0.000 2.197
```



13.
RbBiF6: PBEsol geometry, meta-GGA SCAN.

Output
raw total energy	-17.30	eV/atom
total moment	0.00	μB per atom
DOS(E_F)	0.00	states/eV/atom
raw formation energy	-2.232	eV/atom

Geometry as POSCAR:
```
RbBiF6
1.0
3.877 2.239 2.605
-3.877 2.239 2.605
0.000 -4.477 2.605
Rb Bi F
1 1 6
Cartesian
0.000 0.000 0.000
0.000 0.000 3.908
-0.428 -1.566 2.685
-1.142 1.154 2.685
-1.571 -0.412 5.131
1.571 0.412 2.685
1.142 -1.154 5.131
0.428 1.566 5.131
```



14.
Ba4Y2Cu6O13: PBEsol geometry, meta-GGA SCAN.

Output
raw total energy	-17.54	eV/atom
total moment	0.01	μB per atom
distance to the lowest polymorph of the same formula	0.0	meV per atom
DOS(E_F)	0.41	states/eV/atom
raw formation energy	-2.099	eV/atom

Geometry as POSCAR:
```
Ba4Y2Cu6O13
1.0
3.858 0.000 0.000
0.000 7.619 0.000
0.000 0.000 11.638
Ba Y Cu O
4 2 6 13
Cartesian
0.000 1.858 2.193
0.000 1.858 9.445
0.000 5.761 2.193
0.000 5.761 9.445
0.000 1.911 5.819
0.000 5.707 5.819
1.929 0.000 0.000
1.929 0.000 4.178
1.929 0.000 7.461
1.929 3.809 0.000
1.929 3.809 4.179
1.929 3.809 7.459
0.000 0.000 0.000
0.000 0.000 4.397
0.000 0.000 7.241
0.000 3.809 4.402
0.000 3.809 7.236
1.929 0.000 1.871
1.929 0.000 9.768
1.929 1.906 4.411
1.929 1.906 7.228
1.929 3.809 1.770
1.929 3.809 9.868
1.929 5.713 4.411
1.929 5.713 7.228
```



15.
MgTl5: PBEsol geometry, meta-GGA SCAN.

Output
raw total energy	-61.13	eV/atom
total moment	0.00	μB per atom
energy of formation from the pure elements	-0.04	eV per formula unit
DOS(E_F)	0.44	states/eV/atom

Geometry as POSCAR:
```
MgTl5
1.0
6.123 -1.770 0.000
6.123 1.770 0.000
-2.246 0.000 7.515
Mg Tl
1 5
Cartesian
0.000 0.000 0.000
-0.832 0.000 4.362
2.570 0.000 5.193
4.183 0.000 1.775
7.545 0.000 2.556
6.462 0.000 6.934
```



16.
Na2Co2Si: PBEsol geometry, meta-GGA SCAN.

Output
raw total energy	-10.36	eV/atom
total moment	0.20	μB per atom
DOS(E_F)	0.33	states/eV/atom
raw formation energy	0.252	eV/atom

Geometry as POSCAR:
```
Na2Co2Si
1.0
5.685 0.000 0.000
0.000 5.685 0.000
0.000 0.000 4.910
Na Co Si
4 4 2
Cartesian
1.012 1.831 0.000
1.831 4.673 0.000
3.854 1.012 0.000
4.673 3.854 0.000
0.785 3.628 2.455
2.057 0.785 2.455
3.628 4.900 2.455
4.900 2.057 2.455
0.000 0.000 2.455
2.842 2.842 2.455
```



17.
K2AlCd: PBEsol geometry, meta-GGA SCAN.

Output
raw total energy	-13.34	eV/atom
total moment	0.00	μB per atom
distance to the lowest polymorph of the same formula	231.8	meV per atom
energy of formation from the pure elements	1.45	eV per formula unit
DOS(E_F)	0.61	states/eV/atom

Geometry as POSCAR:
```
K2AlCd
1.0
-4.742 4.742 3.098
4.742 -4.742 3.098
4.742 4.742 -3.098
K Al Cd
4 2 2
Cartesian
7.114 2.302 -0.774
2.302 2.371 0.774
-2.371 2.440 2.323
2.440 2.371 3.872
4.742 0.000 1.549
0.000 0.000 3.098
0.000 0.000 0.000
0.000 4.742 1.549
```



18.
Ba2TcAg: PBEsol geometry, meta-GGA SCAN.

Output
raw total energy	-35.62	eV/atom
total moment	0.55	μB per atom
distance to the lowest polymorph of the same formula	113.1	meV per atom
energy of formation from the pure elements	3.04	eV per formula unit
DOS(E_F)	0.71	states/eV/atom

Geometry as POSCAR:
```
Ba2TcAg
1.0
3.997 -1.695 0.000
3.997 1.695 0.000
-1.044 0.000 8.926
Ba Tc Ag
2 1 1
Cartesian
1.728 0.000 2.086
5.222 0.000 6.840
3.997 0.000 0.000
-0.522 0.000 4.463
```



19.
La2AlCr: PBEsol geometry, meta-GGA SCAN.

Output
raw total energy	-28.10	eV/atom
total moment	0.79	μB per atom
energy of formation from the pure elements	-0.04	eV per formula unit
DOS(E_F)	0.79	states/eV/atom

Geometry as POSCAR:
```
La2AlCr
1.0
-2.311 2.311 4.464
2.311 -2.311 4.464
2.311 2.311 -4.464
La Al Cr
2 1 1
Cartesian
0.000 0.000 0.000
0.000 2.311 2.232
0.000 0.000 4.464
2.311 0.000 2.232
```



20.
GdPS: PBEsol geometry, meta-GGA SCAN.

Output
raw total energy	-27.94	eV/atom
total moment	2.33	μB per atom
DOS(E_F)	0.03	states/eV/atom
raw formation energy	-1.656	eV/atom

Geometry as POSCAR:
```
GdPS
1.0
6.952 0.000 0.000
0.000 3.637 0.000
0.000 0.000 9.138
Gd P S
4 4 4
Cartesian
1.425 0.909 1.448
2.051 2.728 6.017
4.901 0.909 3.122
5.527 2.728 7.691
0.619 0.909 4.216
2.857 2.728 8.785
4.095 0.909 0.353
6.333 2.728 4.923
0.667 0.909 7.718
2.809 2.728 3.149
4.143 0.909 5.989
6.285 2.728 1.420
```



21.
CsBBr2: PBEsol geometry, meta-GGA SCAN.

Output
raw total energy	-20.90	eV/atom
total moment	0.00	μB per atom
DOS(E_F)	0.00	states/eV/atom
raw formation energy	0.144	eV/atom

Geometry as POSCAR:
```
CsBBr2
1.0
0.000 3.886 3.886
3.886 0.000 3.886
3.886 3.886 0.000
Cs B Br
1 1 2
Cartesian
0.000 0.000 0.000
3.886 3.886 3.886
1.943 1.943 1.943
5.829 5.829 5.829
```



22.
LiPRh: PBEsol geometry, meta-GGA SCAN.

Output
raw total energy	-16.16	eV/atom
total moment	0.00	μB per atom
energy of formation from the pure elements	-1.91	eV per formula unit
DOS(E_F)	0.36	states/eV/atom

Geometry as POSCAR:
```
LiPRh
1.0
-1.515 1.515 4.174
1.515 -1.515 4.174
1.515 1.515 -4.174
Li P Rh
1 1 1
Cartesian
0.000 0.000 0.000
0.000 0.000 2.662
0.000 0.000 5.812
```



23.
KCr2Mo: PBEsol geometry, meta-GGA SCAN.

Output
raw total energy	-19.10	eV/atom
total moment	0.00	μB per atom
distance to the lowest polymorph of the same formula	0.0	meV per atom
energy of formation from the pure elements	3.59	eV per formula unit
DOS(E_F)	0.52	states/eV/atom

Geometry as POSCAR:
```
KCr2Mo
1.0
3.115 0.000 0.000
0.000 3.490 0.000
0.000 0.000 7.589
K Cr Mo
1 2 1
Cartesian
0.000 0.000 0.000
1.558 1.745 2.802
1.558 1.745 4.786
0.000 0.000 3.794
```



24.
Nb3IrW: PBEsol geometry, meta-GGA SCAN.

Output
raw total energy	-46.43	eV/atom
total moment	0.00	μB per atom
distance to the lowest polymorph of the same formula	238.3	meV per atom
energy of formation from the pure elements	8.03	eV per formula unit
DOS(E_F)	1.39	states/eV/atom

Geometry as POSCAR:
```
Nb3IrW
1.0
4.729 0.000 0.000
0.000 4.729 0.000
0.000 0.000 4.729
Nb Ir W
3 1 1
Cartesian
0.000 0.000 2.365
0.000 2.365 0.000
2.365 0.000 0.000
2.365 2.365 2.365
0.000 0.000 0.000
```